## BaP2Rh3 (PBE)

Data for BaP2Rh3 after structural relaxation.

a b c (Å): 3.9914 7.7520 8.3634
angles (deg): 113.49 90.00 104.92
Closest atoms and distances in Å follow each position.
Fractional coordinates of all 12 atoms:
Rh1 0.9588 0.9177 0.6193  3 P 2.31
Rh2 0.6841 0.3681 0.4329  2 P 2.34
Rh3 0.6071 0.2143 0.6799  3 P 2.32-2.37
Rh4 0.0412 0.0823 0.3807  3 P 2.31
Rh5 0.3929 0.7857 0.3201  3 P 2.32-2.37
Rh6 0.3159 0.6319 0.5671  2 P 2.34
P1 0.8187 0.6373 0.3599  4 Rh 2.31-2.37
P2 0.5203 0.0406 0.2302  4 Rh 2.31-2.34
P3 0.1813 0.3627 0.6401  4 Rh 2.31-2.37
P4 0.4797 0.9594 0.7698  4 Rh 2.31-2.34
Ba1 0.1424 0.2847 0.0664  6 P 3.33-3.41, 7 Rh 3.47-3.65
Ba2 0.8576 0.7153 0.9336  6 P 3.33-3.41, 7 Rh 3.47-3.65

Summary:
total magnetization = 0.000 μB/f.u.
V = 18.98 A^3/atom
DFT formation energy = -0.816 eV per atom
symmetry = C2/m (12)